{
  "formula": "RbI2O6",
  "functional": "GGA-PBE",
  "state": "optimized geometry",
  "magnetic_moment_mub_per_fu": 0.0,
  "energy_ev_per_fu": -38.177,
  "e_above_lowest_polymorph_mev_per_atom": 57,
  "lattice_angstrom": [[-1.697, 3.864, 3.481], [-5.337, -1.864, -0.533], [0.306, -8.746, 9.855]],
  "species": ["O", "O", "O", "O", "O", "O", "O", "O", "O", "O", "O", "O", "Rb", "Rb", "I", "I", "I", "I"],
  "fractional_positions": [[0.340, 0.278, 0.802], [0.705, 0.947, 0.890], [0.840, 0.222, 0.698], [0.295, 0.053, 0.110], [0.205, 0.553, 0.610], [0.732, 0.242, 0.203], [0.232, 0.258, 0.297], [0.160, 0.778, 0.302], [0.268, 0.758, 0.797], [0.768, 0.742, 0.703], [0.795, 0.447, 0.390], [0.660, 0.722, 0.198], [0.500, 0.500, 0.000], [0.000, 0.000, 0.500], [0.615, 0.994, 0.758], [0.115, 0.506, 0.742], [0.885, 0.494, 0.258], [0.385, 0.006, 0.242]]
}

---

{
  "formula": "Ta2MnNi",
  "functional": "GGA-PBE",
  "state": "optimized geometry",
  "magnetic_moment_mub_per_fu": 1.7,
  "energy_ev_per_fu": -36.953,
  "formation_energy_ev_per_atom": 0.4258,
  "e_above_lowest_polymorph_mev_per_atom": 567,
  "lattice_angstrom": [[6.859, 0.000, 0.000], [0.000, 6.859, 0.000], [3.429, 3.429, 2.672]],
  "species": ["Mn", "Mn", "Ni", "Ni", "Ta", "Ta", "Ta", "Ta"],
  "fractional_positions": [[0.500, 0.500, 0.000], [0.250, 0.750, 0.500], [0.750, 0.250, 0.500], [0.000, 0.000, 0.000], [0.118, 0.625, 0.250], [0.375, 0.368, 0.750], [0.875, 0.882, 0.750], [0.632, 0.125, 0.250]]
}

---

{
  "formula": "AlB2RuPb",
  "functional": "GGA-PBE",
  "state": "optimized geometry",
  "magnetic_moment_mub_per_fu": 0.8,
  "energy_ev_per_fu": -18.775,
  "formation_energy_ev_per_atom": 2.2613,
  "lattice_angstrom": [[4.380, 0.000, 0.000], [0.000, 5.347, 0.000], [0.000, 0.000, 4.380]],
  "species": ["B", "B", "Al", "Ru", "Pb"],
  "fractional_positions": [[0.500, 0.000, 0.000], [0.000, 0.000, 0.500], [0.500, 0.500, 0.500], [0.000, 0.500, 0.000], [0.000, 0.000, 0.000]]
}

---

{
  "formula": "TlZn2Re",
  "functional": "GGA-PBE",
  "state": "optimized geometry",
  "magnetic_moment_mub_per_fu": 0.0,
  "energy_ev_per_fu": -15.211,
  "formation_energy_ev_per_atom": 0.5377,
  "e_above_lowest_polymorph_mev_per_atom": 66,
  "lattice_angstrom": [[-3.692, 2.795, -1.377], [-0.750, -1.917, -1.878], [-2.971, -2.223, 3.454]],
  "species": ["Zn", "Zn", "Re", "Tl"],
  "fractional_positions": [[0.500, 0.125, 0.300], [0.000, 0.126, 0.968], [0.000, 0.625, 0.442], [0.500, 0.624, 0.789]]
}

---

{
  "formula": "Tb2CuP4Ir3",
  "functional": "GGA-PBE",
  "state": "optimized geometry",
  "magnetic_moment_mub_per_fu": 0.0,
  "energy_ev_per_fu": -70.555,
  "formation_energy_ev_per_atom": -0.8976,
  "lattice_angstrom": [[-2.701, -2.125, -2.351], [0.777, -3.439, 2.216], [-6.970, 2.266, 5.961]],
  "species": ["P", "P", "P", "P", "Cu", "Tb", "Tb", "Ir", "Ir", "Ir"],
  "fractional_positions": [[0.500, 0.500, 0.000], [0.500, 0.000, 0.637], [0.000, 0.500, 0.363], [0.000, 0.000, 0.000], [0.500, 0.500, 0.500], [0.000, 0.500, 0.755], [0.500, 0.000, 0.245], [0.000, 0.500, 0.114], [0.000, 0.000, 0.500], [0.500, 0.000, 0.886]]
}

---

{
  "formula": "Li2GeBi",
  "functional": "GGA-PBE",
  "state": "optimized geometry",
  "magnetic_moment_mub_per_fu": 0.0,
  "energy_ev_per_fu": -13.397,
  "formation_energy_ev_per_atom": -0.2678,
  "e_above_lowest_polymorph_mev_per_atom": 7,
  "lattice_angstrom": [[3.419, 0.000, 0.000], [0.000, 3.419, 0.000], [0.000, 0.000, 6.836]],
  "species": ["Li", "Li", "Bi", "Ge"],
  "fractional_positions": [[0.000, 0.000, 0.291], [0.000, 0.000, 0.709], [0.500, 0.500, 0.000], [0.500, 0.500, 0.500]]
}

---

{
  "formula": "Fe2CoHgPd",
  "functional": "GGA-PBE",
  "state": "optimized geometry",
  "magnetic_moment_mub_per_fu": 0.0,
  "energy_ev_per_fu": -23.333,
  "formation_energy_ev_per_atom": 1.2385,
  "e_above_lowest_polymorph_mev_per_atom": 0,
  "lattice_angstrom": [[-3.468, 2.258, -0.354], [-1.314, -2.621, -3.851], [-1.989, -2.663, 2.491]],
  "species": ["Fe", "Fe", "Hg", "Pd", "Co"],
  "fractional_positions": [[0.500, 0.000, 0.000], [0.000, 0.000, 0.500], [0.000, 0.500, 0.000], [0.500, 0.500, 0.500], [0.000, 0.000, 0.000]]
}

---

{
  "formula": "Cs2LaRhI6",
  "functional": "GGA-PBE",
  "state": "optimized geometry",
  "magnetic_moment_mub_per_fu": 2.0,
  "energy_ev_per_fu": -34.353,
  "lattice_angstrom": [[-3.437, -6.780, 3.916], [7.658, -2.021, 3.223], [0.957, -1.002, 8.440]],
  "species": ["I", "I", "I", "I", "I", "I", "Rh", "Cs", "Cs", "La"],
  "fractional_positions": [[0.261, 0.739, 0.000], [0.739, 0.261, 0.000], [0.739, 0.739, 0.000], [0.261, 0.261, 0.478], [0.739, 0.739, 0.522], [0.261, 0.261, 0.000], [0.500, 0.500, 0.000], [0.750, 0.250, 0.500], [0.250, 0.750, 0.500], [0.000, 0.000, 0.000]]
}

---

{
  "formula": "Dy2ErAl",
  "functional": "GGA-PBE",
  "state": "optimized geometry",
  "magnetic_moment_mub_per_fu": 0.7,
  "energy_ev_per_fu": -17.795,
  "formation_energy_ev_per_atom": -0.0713,
  "e_above_lowest_polymorph_mev_per_atom": 128,
  "lattice_angstrom": [[-0.669, 2.950, 1.895], [-2.691, 0.043, 2.345], [5.300, -2.317, 8.842]],
  "species": ["Dy", "Dy", "Al", "Er"],
  "fractional_positions": [[0.073, 0.073, 0.780], [0.260, 0.260, 0.220], [0.666, 0.666, 0.001], [0.500, 0.500, 0.499]]
}

---

{
  "formula": "Pa3Ga7Co4",
  "functional": "GGA-PBE",
  "state": "optimized geometry",
  "magnetic_moment_mub_per_fu": 0.0,
  "energy_ev_per_fu": -84.164,
  "formation_energy_ev_per_atom": -0.4332,
  "lattice_angstrom": [[-2.570, 2.973, 1.334], [-6.279, -3.602, 2.387], [-0.207, -1.028, 8.348]],
  "species": ["Ga", "Ga", "Ga", "Ga", "Ga", "Ga", "Ga", "Pa", "Pa", "Pa", "Co", "Co", "Co", "Co"],
  "fractional_positions": [[0.491, 0.233, 0.786], [0.321, 0.831, 0.527], [0.155, 0.615, 0.074], [0.000, 0.000, 0.000], [0.509, 0.767, 0.214], [0.845, 0.385, 0.926], [0.679, 0.169, 0.473], [0.000, 0.500, 0.500], [0.694, 0.814, 0.797], [0.306, 0.186, 0.203], [0.328, 0.558, 0.787], [0.672, 0.442, 0.213], [0.107, 0.143, 0.643], [0.893, 0.857, 0.357]]
}

---

{
  "formula": "Rb3CaEr2Te6",
  "functional": "GGA-PBE",
  "state": "optimized geometry",
  "magnetic_moment_mub_per_fu": 0.0,
  "energy_ev_per_fu": -48.281,
  "lattice_angstrom": [[7.810, -0.001, 0.000], [-3.904, 6.764, 0.000], [-1.302, -2.255, 8.645]],
  "species": ["Te", "Te", "Te", "Te", "Te", "Te", "Ca", "Er", "Er", "Rb", "Rb", "Rb"],
  "fractional_positions": [[0.067, 0.412, 0.200], [0.588, 0.933, 0.800], [0.722, 0.722, 0.199], [0.933, 0.588, 0.800], [0.278, 0.278, 0.801], [0.412, 0.067, 0.200], [0.000, 0.000, 0.000], [0.667, 0.333, 0.000], [0.333, 0.667, 0.000], [0.163, 0.837, 0.500], [0.837, 0.163, 0.500], [0.500, 0.500, 0.500]]
}

---

{
  "formula": "GdZn4Os",
  "functional": "GGA-PBE",
  "state": "optimized geometry",
  "magnetic_moment_mub_per_fu": 6.9,
  "energy_ev_per_fu": -31.328,
  "formation_energy_ev_per_atom": -0.1536,
  "lattice_angstrom": [[-1.556, 3.905, -2.943], [-4.521, -0.250, -2.414], [-3.893, 2.973, 1.529]],
  "species": ["Zn", "Zn", "Zn", "Zn", "Gd", "Os"],
  "fractional_positions": [[0.627, 0.627, 0.120], [0.120, 0.627, 0.627], [0.627, 0.120, 0.627], [0.627, 0.627, 0.627], [0.250, 0.250, 0.250], [0.000, 0.000, 0.000]]
}